CsRbPd3: optimized geometry, PBE-GGA.

Results
electronic total energy: -3.4096 eV per atom
ρ: 6.45 g/cm3

Structure (CIF):
```
data_CsRbPd3
_symmetry_space_group_name_H-M 'I m m 2'
_symmetry_Int_Tables_number 44
_cell_length_a 4.632
_cell_length_b 5.366
_cell_length_c 11.132
_cell_angle_alpha 90.00
_cell_angle_beta 90.00
_cell_angle_gamma 90.00
loop_
_symmetry_equiv_pos_as_xyz
'x,y,z'
'-x,-y,z'
'-x,y,z'
'x,-y,z'
'x+1/2,y+1/2,z+1/2'
'-x+1/2,-y+1/2,z+1/2'
'-x+1/2,y+1/2,z+1/2'
'x+1/2,-y+1/2,z+1/2'
loop_
_atom_site_label
_atom_site_type_symbol
_atom_site_fract_x
_atom_site_fract_y
_atom_site_fract_z
Cs1 Cs 0.000 0.000 0.000
Rb1 Rb 0.000 0.000 0.397
Pd1 Pd 0.000 0.250 0.699
Pd2 Pd 0.000 0.500 0.202
```

---

SnMoPb2: optimized geometry, PBE-GGA.

Results
electronic total energy: -4.8349 eV per atom
ρ: 10.82 g/cm3

Structure (CIF):
```
data_SnMoPb2
_symmetry_space_group_name_H-M 'F -4 3 m'
_symmetry_Int_Tables_number 216
_symmetry_space_group_name_Hall 'F -4 2 3'
_cell_length_a 7.282
_cell_length_b 7.282
_cell_length_c 7.282
_cell_angle_alpha 90.00
_cell_angle_beta 90.00
_cell_angle_gamma 90.00
loop_
_atom_site_label
_atom_site_type_symbol
_atom_site_fract_x
_atom_site_fract_y
_atom_site_fract_z
Sn1 Sn 0.000 0.000 0.000
Mo1 Mo 0.250 0.250 0.250
Pb1 Pb 0.000 0.000 0.500
Pb2 Pb 0.250 0.250 0.750
```